(1)
Here is Mg2Zn2Pt after structural relaxation from the Alexandria database. Energies are from GGA-PBE.

Cell lengths 4.280, 4.280, 7.403 Å; angles 73.20, 73.20, 60.00 degrees
Sites, in units of the cell vectors:
Mg 0.429 0.429 0.713
Mg 0.571 0.571 0.287
Zn 0.703 0.703 0.890
Zn 0.297 0.297 0.110
Pt 0.000 0.000 0.000

## Properties
Distance to the lowest polymorph of the same formula in eV per atom: 0.206
Magnetization in μB per cell: 0.000
Energy in eV per atom: -2.4714
Energy of formation from the pure elements in eV per formula unit: -0.58

---

(2)
Here is MgZn4Pt15 after structural relaxation from the Alexandria database. Energies are from GGA-PBE.

Cell lengths 3.923, 3.923, 19.831 Å; angles 90.00, 90.00, 90.00 degrees
Sites, in units of the cell vectors:
Mg 0.000 0.000 0.000
Zn 0.000 0.000 0.201
Zn 0.000 0.000 0.400
Zn 0.000 0.000 0.600
Zn 0.000 0.000 0.799
Pt 0.500 0.500 0.000
Pt 0.500 0.500 0.201
Pt 0.500 0.500 0.400
Pt 0.500 0.500 0.600
Pt 0.500 0.500 0.799
Pt 0.500 0.000 0.101
Pt 0.500 0.000 0.301
Pt 0.500 0.000 0.500
Pt 0.500 0.000 0.699
Pt 0.500 0.000 0.899
Pt 0.000 0.500 0.101
Pt 0.000 0.500 0.301
Pt 0.000 0.500 0.500
Pt 0.000 0.500 0.699
Pt 0.000 0.500 0.899

## Properties
Magnetization in μB per cell: 0.000
Energy in eV per atom: -5.2487
Energy of formation from the pure elements in eV per formula unit: -7.67

---

(3)
Here is Mg4ZnPt2 after structural relaxation from the Alexandria database. Energies are from GGA-PBE.

Cell lengths 4.525, 4.525, 7.585 Å; angles 72.65, 72.65, 60.00 degrees
Sites, in units of the cell vectors:
Mg 0.869 0.869 0.394
Mg 0.131 0.131 0.606
Mg 0.613 0.613 0.161
Mg 0.387 0.387 0.839
Zn 0.000 0.000 0.000
Pt 0.742 0.742 0.773
Pt 0.258 0.258 0.227

## Properties
Magnetization in μB per cell: 0.000
Energy in eV per atom: -3.4380
Energy of formation from the pure elements in eV per formula unit: -4.33

---

(4)
Here is Mg4Zn2Pt after structural relaxation from the Alexandria database. Energies are from GGA-PBE.

Cell lengths 4.559, 4.559, 7.761 Å; angles 72.92, 72.92, 60.00 degrees
Sites, in units of the cell vectors:
Mg 0.873 0.873 0.380
Mg 0.127 0.127 0.620
Mg 0.624 0.624 0.127
Mg 0.376 0.376 0.873
Zn 0.748 0.748 0.757
Zn 0.252 0.252 0.243
Pt 0.000 0.000 0.000

## Properties
Magnetization in μB per cell: 0.000
Energy in eV per atom: -2.4458
Energy of formation from the pure elements in eV per formula unit: -2.15

---

Computed values of N(E_F) (unit: states/eV/cell) for the preceding records, in sequence: 3.0 19.8 2.2 1.2.